Entry from the Alexandria database: a relaxed Eu2HgP crystal (PBE).

Properties
SG: R-3m
N(E_F): 4.89 states/eV/atom
magnetization: 14.4 Bohr magnetons per cell
formation energy from the elements: -0.84 eV/atom

Unit cell a=4.2868 b=4.2868 c=8.0834 alpha=74.62 beta=74.62 gamma=60.00
Closest atoms and distances in Å follow each position.
Fractional coordinates of all 4 atoms:
P  0.0000  0.0000  0.0000  6 Eu 2.92
Hg  0.5000  0.5000  0.5000  6 Eu 3.38
Eu  0.7339  0.7339  0.7984  3 P 2.92
Eu  0.2661  0.2661  0.2016  3 P 2.92